[1]
Density functional theory data (PBE) for a relaxed structure of K2PtF6.

Calculated values
E_tot (eV/atom): -4.32
Raw formation energy (eV/f.u.): -19.38
Total magnetization (μB per cell): 0.0

The structure in POSCAR format:
```
K2PtF6
1.0
5.897 0.000 0.000
-2.948 5.107 0.000
0.000 0.000 4.736
K Pt F
2 1 6
Cartesian
0.000 3.405 1.025 K
2.948 1.702 3.711 K
0.000 0.000 2.368 Pt
0.000 1.667 3.431 F
-1.505 4.273 3.431 F
1.444 0.834 1.305 F
1.505 4.273 3.431 F
4.453 0.834 1.305 F
2.948 3.440 1.305 F
```



[2]
Density functional theory data (PBE) for a relaxed structure of KPtF.

Calculated values
Offset from the most stable computed form (meV per atom): 718.6
E_tot (eV/atom): -3.69
Raw formation energy (eV/f.u.): -2.06
Total magnetization (μB per cell): 0.0

The structure in POSCAR format:
```
KPtF
1.0
4.809 0.000 0.000
-2.405 4.165 0.000
0.000 0.000 8.216
K Pt F
2 2 2
Cartesian
0.000 2.777 2.054 K
2.405 1.388 6.162 K
0.000 0.000 0.000 Pt
0.000 0.000 4.108 Pt
0.000 0.000 2.054 F
0.000 0.000 6.162 F
```



[3]
Density functional theory data (PBE) for a relaxed structure of K2PtF.

Calculated values
Offset from the most stable computed form (meV per atom): 0.0
E_tot (eV/atom): -3.35
Raw formation energy (eV/f.u.): -3.28
Total magnetization (μB per cell): 1.9

The structure in POSCAR format:
```
K2PtF
1.0
-3.782 3.782 4.291
3.782 -3.782 4.291
3.782 3.782 -4.291
K Pt F
4 2 2
Cartesian
5.672 1.258 -1.073 K
1.258 1.891 1.073 K
-1.891 2.524 3.218 K
2.524 1.891 5.363 K
3.782 0.000 2.145 Pt
0.000 0.000 4.291 Pt
0.000 0.000 0.000 F
0.000 3.782 2.145 F
```



[4]
Density functional theory data (PBE) for a relaxed structure of KPtF2.

Calculated values
Offset from the most stable computed form (meV per atom): 413.8
E_tot (eV/atom): -3.79
Raw formation energy (eV/f.u.): -4.28
Total magnetization (μB per cell): 2.0

The structure in POSCAR format:
```
KPtF2
1.0
-3.326 3.326 3.234
3.326 -3.326 3.234
3.326 3.326 -3.234
K Pt F
2 2 4
Cartesian
0.000 0.000 0.000 K
0.000 3.326 1.617 K
3.326 0.000 1.617 Pt
0.000 0.000 3.234 Pt
1.663 -1.355 2.426 F
1.971 1.663 0.809 F
1.663 4.681 -0.809 F
1.355 1.663 4.043 F
```



[5]
Density functional theory data (PBE) for a relaxed structure of KPtF2.

Calculated values
Offset from the most stable computed form (meV per atom): 0.0
E_tot (eV/atom): -4.20
Raw formation energy (eV/f.u.): -5.93
Total magnetization (μB per cell): 0.0

The structure in POSCAR format:
```
KPtF2
1.0
1.613 0.932 7.399
-1.613 0.932 7.399
0.000 -1.863 7.399
K Pt F
1 1 2
Cartesian
0.000 0.000 0.000 K
0.000 0.000 11.098 Pt
0.000 0.000 9.084 F
0.000 0.000 13.112 F
```



[6]
Density functional theory data (PBE) for a relaxed structure of K2PtF5.

Calculated values
E_tot (eV/atom): -4.20
Raw formation energy (eV/f.u.): -16.04
Total magnetization (μB per cell): 0.9

The structure in POSCAR format:
```
K2PtF5
1.0
-3.091 3.091 3.912
3.091 -3.091 3.912
3.091 3.091 -3.912
K Pt F
2 1 5
Cartesian
3.091 0.000 0.000 K
0.000 3.091 0.000 K
0.000 0.000 1.899 Pt
1.682 1.682 -2.027 F
1.409 -1.409 1.885 F
-1.409 1.409 1.885 F
1.409 1.409 1.885 F
0.000 0.000 4.011 F
```



Which value of raw formation energy does entry 6 give?
-16.04 eV/f.u.